PBE Pr2Sm3Th, relaxed; SG = P2_1/m; energy = -5.11 eV/atom; distance to the lowest polymorph of the same formula = 42 meV/atom; M_tot = 0.00 μB/cell; energy relative to the elements = 0.49 eV/f.u.; mass density = 7.70 Mg/m³
1.0
8.664 0.000 0.000
0.000 3.675 0.000
-0.085 0.000 13.078
Pr Sm Th
4 6 2
Direct
0.099 0.250 0.391
0.347 0.750 0.940
0.653 0.250 0.060
0.901 0.750 0.609
0.088 0.250 0.110
0.355 0.750 0.559
0.406 0.750 0.250
0.594 0.250 0.750
0.645 0.250 0.441
0.912 0.750 0.890
0.182 0.250 0.746
0.818 0.750 0.254